## Sm2PuBiO8 (PBE)

Data for Sm2PuBiO8 after structural relaxation.

abc: 5.211 7.145 5.211
angles: 90.00 91.13 90.00
Fractional coordinates of all 12 atoms:
Sm 0.000 0.245 0.000
Sm 0.000 0.755 0.000
Pu 0.500 0.500 0.500
Bi 0.500 0.000 0.500
O 0.190 0.000 0.190
O 0.225 0.500 0.227
O 0.318 0.285 0.683
O 0.318 0.715 0.683
O 0.682 0.285 0.317
O 0.682 0.715 0.317
O 0.775 0.500 0.773
O 0.810 0.000 0.810

Output
Theoretical density: 7.5 g/cm3
E: -0.5998 Ry/atom
Calculated volume: 16.16 Å³ per atom
Crystal system: monoclinic

---

## SmPuBiO6 (PBE)

Data for SmPuBiO6 after structural relaxation.

abc: 5.888 5.888 9.462
angles: 90.00 90.00 120.00
Fractional coordinates of all 18 atoms:
Sm 0.333 0.667 0.250
Sm 0.667 0.333 0.750
Pu 0.333 0.667 0.750
Pu 0.667 0.333 0.250
Bi 0.000 0.000 0.000
Bi 0.000 0.000 0.500
O 0.034 0.366 0.634
O 0.034 0.668 0.866
O 0.332 0.366 0.866
O 0.332 0.966 0.634
O 0.366 0.034 0.134
O 0.366 0.332 0.366
O 0.634 0.668 0.634
O 0.634 0.966 0.866
O 0.668 0.034 0.366
O 0.668 0.634 0.134
O 0.966 0.332 0.134
O 0.966 0.634 0.366

Output
Theoretical density: 8.2 g/cm3
E: -0.6046 Ry/atom
N(E_F): 13.3 states/eV/cell
Calculated volume: 15.78 Å³ per atom
Crystal system: trigonal

---

## SmPuBi2O8 (PBE)

Data for SmPuBi2O8 after structural relaxation.

abc: 5.313 5.313 7.088
angles: 90.83 90.83 90.09
Fractional coordinates of all 12 atoms:
Sm 0.000 0.000 0.000
Pu 0.000 0.000 0.500
Bi 0.486 0.486 0.759
Bi 0.514 0.514 0.241
O 0.172 0.172 0.286
O 0.189 0.189 0.739
O 0.256 0.744 0.500
O 0.312 0.688 0.000
O 0.688 0.312 0.000
O 0.744 0.256 0.500
O 0.811 0.811 0.261
O 0.828 0.828 0.714

Output
Theoretical density: 7.8 g/cm3
E: -0.5614 Ry/atom
Calculated volume: 16.67 Å³ per atom
Crystal system: monoclinic

---

## PuSnBiO (PBE)

Data for PuSnBiO after structural relaxation.

abc: 9.032 9.032 9.032
angles: 158.84 158.84 30.10
Fractional coordinates of all 4 atoms:
Pu 0.000 0.000 0.000
Sn 0.674 0.674 0.000
Bi 0.337 0.337 0.000
O 0.525 0.525 0.000

Output
Theoretical density: 10.2 g/cm3
E: -0.5783 Ry/atom
N(E_F): 8.9 states/eV/cell
Calculated volume: 23.99 Å³ per atom
Crystal system: tetragonal

---

## PuSnBiO6 (PBE)

Data for PuSnBiO6 after structural relaxation.

abc: 5.598 5.598 9.956
angles: 90.00 90.00 120.00
Fractional coordinates of all 18 atoms:
Pu 0.333 0.667 0.250
Pu 0.667 0.333 0.750
Sn 0.333 0.667 0.750
Sn 0.667 0.333 0.250
Bi 0.000 0.000 0.000
Bi 0.000 0.000 0.500
O 0.006 0.357 0.637
O 0.006 0.649 0.863
O 0.351 0.357 0.863
O 0.351 0.994 0.637
O 0.357 0.006 0.137
O 0.357 0.351 0.363
O 0.643 0.649 0.637
O 0.643 0.994 0.863
O 0.649 0.006 0.363
O 0.649 0.643 0.137
O 0.994 0.351 0.137
O 0.994 0.643 0.363

Output
Theoretical density: 8.2 g/cm3
E: -0.5628 Ry/atom
N(E_F): 17.7 states/eV/cell
Calculated volume: 15.01 Å³ per atom
Crystal system: trigonal

---

## PuSnBi2O (PBE)

Data for PuSnBi2O after structural relaxation.

abc: 3.977 3.977 17.736
angles: 90.00 90.00 90.00
Fractional coordinates of all 10 atoms:
Pu 0.250 0.250 0.065
Pu 0.750 0.750 0.935
Sn 0.250 0.250 0.648
Sn 0.750 0.750 0.352
Bi 0.250 0.250 0.430
Bi 0.250 0.250 0.817
Bi 0.750 0.750 0.183
Bi 0.750 0.750 0.570
O 0.250 0.750 0.000
O 0.750 0.250 0.000

Output
Theoretical density: 9.4 g/cm3
E: -0.5307 Ry/atom
N(E_F): 12.0 states/eV/cell
Calculated volume: 28.05 Å³ per atom
Crystal system: tetragonal

---

## Sr2PuBiO8 (PBE)

Data for Sr2PuBiO8 after structural relaxation.

abc: 3.601 5.587 9.617
angles: 84.16 86.90 85.81
Fractional coordinates of all 12 atoms:
Sr 0.012 0.024 0.219
Sr 0.988 0.976 0.781
Pu 0.500 0.500 0.500
Bi 0.500 0.500 0.000
O 0.034 0.268 0.957
O 0.057 0.670 0.573
O 0.476 0.241 0.641
O 0.484 0.312 0.196
O 0.516 0.688 0.804
O 0.524 0.759 0.359
O 0.943 0.330 0.427
O 0.966 0.732 0.043

Output
Theoretical density: 6.5 g/cm3
E: -0.5270 Ry/atom
Calculated volume: 15.98 Å³ per atom
Crystal system: triclinic

---

## SrPuBiO2 (PBE)

Data for SrPuBiO2 after structural relaxation.

abc: 7.719 7.719 7.719
angles: 150.30 150.30 42.51
Fractional coordinates of all 5 atoms:
Sr 0.000 0.000 0.000
Pu 0.332 0.332 0.000
Bi 0.671 0.671 0.000
O 0.398 0.898 0.500
O 0.898 0.398 0.500

Output
Theoretical density: 8.4 g/cm3
E: -0.5999 Ry/atom
N(E_F): 3.9 states/eV/cell
Calculated volume: 22.53 Å³ per atom
Crystal system: tetragonal

---

## TbPuBiO2 (PBE)

Data for TbPuBiO2 after structural relaxation.

abc: 7.226 7.226 7.226
angles: 148.49 148.49 45.16
Fractional coordinates of all 5 atoms:
Tb 0.000 0.000 0.000
Pu 0.326 0.326 0.000
Bi 0.666 0.666 0.000
O 0.415 0.915 0.500
O 0.915 0.415 0.500

Output
Theoretical density: 10.4 g/cm3
E: -0.6596 Ry/atom
N(E_F): 10.0 states/eV/cell
Calculated volume: 20.55 Å³ per atom
Crystal system: tetragonal

---

## TbPuBiO6 (PBE)

Data for TbPuBiO6 after structural relaxation.

abc: 5.813 5.813 9.558
angles: 90.00 90.00 120.00
Fractional coordinates of all 18 atoms:
Tb 0.333 0.667 0.250
Tb 0.667 0.333 0.750
Pu 0.333 0.667 0.750
Pu 0.667 0.333 0.250
Bi 0.000 0.000 0.000
Bi 0.000 0.000 0.500
O 0.027 0.364 0.635
O 0.027 0.663 0.865
O 0.337 0.364 0.865
O 0.337 0.973 0.635
O 0.364 0.027 0.135
O 0.364 0.337 0.365
O 0.636 0.663 0.635
O 0.636 0.973 0.865
O 0.663 0.027 0.365
O 0.663 0.636 0.135
O 0.973 0.337 0.135
O 0.973 0.636 0.365

Output
Theoretical density: 8.4 g/cm3
E: -0.6066 Ry/atom
N(E_F): 13.5 states/eV/cell
Calculated volume: 15.54 Å³ per atom
Crystal system: trigonal

---

## PuBi2TeO4 (PBE)

Data for PuBi2TeO4 after structural relaxation.

abc: 3.920 3.920 9.380
angles: 90.00 90.00 90.00
Fractional coordinates of all 8 atoms:
Pu 0.000 0.000 0.000
Bi 0.500 0.500 0.279
Bi 0.500 0.500 0.721
Te 0.000 0.000 0.500
O 0.000 0.500 0.144
O 0.000 0.500 0.856
O 0.500 0.000 0.144
O 0.500 0.000 0.856

Output
Theoretical density: 9.8 g/cm3
E: -0.5385 Ry/atom
N(E_F): 5.9 states/eV/cell
Calculated volume: 18.02 Å³ per atom
Crystal system: tetragonal

---

## PuBiTe2O (PBE)

Data for PuBiTe2O after structural relaxation.

abc: 4.157 4.157 16.768
angles: 90.00 90.00 90.00
Fractional coordinates of all 10 atoms:
Pu 0.250 0.250 0.065
Pu 0.750 0.750 0.935
Bi 0.250 0.250 0.654
Bi 0.750 0.750 0.346
Te 0.250 0.250 0.408
Te 0.250 0.250 0.831
Te 0.750 0.750 0.169
Te 0.750 0.750 0.592
O 0.250 0.750 0.000
O 0.750 0.250 0.000

Output
Theoretical density: 8.3 g/cm3
E: -0.5260 Ry/atom
N(E_F): 14.4 states/eV/cell
Calculated volume: 28.98 Å³ per atom
Crystal system: tetragonal